1.
A plane-wave DFT calculation with PBE-GGA was carried out for CsNaB after structural relaxation.

a b c (Å): 5.4068 11.6116 6.8088
angles (deg): 90.00 90.00 90.00
With the nearest neighbours (Å) after each atom.
Space group Imm2 (No. 44)
Unique sites:
Cs (0.0000, 0.2146, 0.0000)  2 B 3.40-3.41, 2 Na 3.68
Na (0.0000, 0.0000, 0.4968)  4 B 2.81-2.82
Na (0.0000, 0.5000, 0.4942)  2 B 2.63
B (0.0000, 0.5000, 0.1086)  1 B 1.55
B (0.0000, 0.5000, 0.8802)  1 B 1.55

Values from the calculation:
Crystal system ... orthorhombic
Energy relative to the elements ... 50 kJ per mole of atoms

2.
A plane-wave DFT calculation with PBE-GGA was carried out for Na2CrCdH6 after structural relaxation.

a b c (Å): 7.6321 7.6321 7.6321
angles (deg): 90.00 90.00 90.00
With the nearest neighbours (Å) after each atom.
Space group Fm-3m (No. 225)
Unique sites:
Na (0.2500, 0.2500, 0.2500)  12 H 2.70
Cr (0.0000, 0.0000, 0.0000)  6 H 1.78
Cd (0.0000, 0.0000, 0.5000)  6 H 2.04
H (0.0000, 0.0000, 0.2329)  1 Cr 1.78

Values from the calculation:
Crystal system ... cubic

3.
A plane-wave DFT calculation with PBE-GGA was carried out for Nd3Y2Tm8 after structural relaxation.

a b c (Å): 20.0401 7.6823 5.5866
angles (deg): 90.00 90.03 90.00
With the nearest neighbours (Å) after each atom.
Space group C2/m (No. 12)
Unique sites:
Nd (0.0000, 0.0000, 0.0000)  4 Tm 3.13
Nd (0.0000, 0.2929, 0.5000)  1 Nd 3.18, 6 Tm 3.51-3.55
Y (0.2407, 0.0000, 0.9991)  8 Tm 3.32-3.52
Tm (0.1093, 0.2914, 0.0003)  1 Nd 3.13, 3 Tm 3.20-3.44, 2 Y 3.41-3.46
Tm (0.1342, 0.0000, 0.4997)  4 Nd 3.51-3.88, 2 Y 3.51-3.52, 6 Tm 3.61-3.91
Tm (0.1696, 0.5000, 0.5008)  2 Y 3.32, 4 Tm 3.44

Values from the calculation:
Crystal system ... monoclinic
Energy relative to the elements ... 25 kJ per mole of atoms

| no. | uncorrected energy (eV per atom) | total moment (μB per atom) |
| --- | --- | --- |
| 1 | -2.430 | 0.00 |
| 2 | -3.327 | 0.37 |
| 3 | -4.587 | 0.00 |